1.
SrNbBr2 | GGA-PBE | relaxed

Summary:
Energy relative to the elements, uncorrected   -0.2443 eV/atom
Uncorrected energy   -4.019 eV/atom
DOS(E_F)   14.4 states/eV per cell
Energy above the lowest structure with this stoichiometry   0.0047 eV/atom

Unit cell a=5.396 b=5.396 c=17.949 alpha=90.00 beta=90.00 gamma=90.00
Space group I-42d (No. 122)
One atom of each set of equivalent atoms:
Sr1 0.000 0.000 0.000 [4 per cell]
Nb1 0.000 0.000 0.500 [4 per cell]
Br1 0.209 0.250 0.625 [8 per cell]

***

2.
Tl2GaTe2 | GGA-PBE | relaxed

Summary:
Energy relative to the elements, uncorrected   -0.2974 eV/atom
Uncorrected energy   -3.106 eV/atom
Energy above the lowest structure with this stoichiometry   0.0000 eV/atom

Unit cell a=9.797 b=9.450 c=8.362 alpha=90.00 beta=113.23 gamma=90.00
Space group P2_1/c (No. 14)
One atom of each set of equivalent atoms:
Tl1 0.074 0.240 0.040 [4 per cell]
Tl2 0.286 0.625 0.305 [4 per cell]
Ga1 0.392 0.083 0.449 [4 per cell]
Te1 0.126 0.536 0.819 [4 per cell]
Te2 0.451 0.195 0.781 [4 per cell]

***

3.
Y2MgIr | GGA-PBE | relaxed

Summary:
Energy of formation from the pure elements   -13 kJ per mole of atoms
Uncorrected energy   -5.983 eV/atom
DOS(E_F)   15.9 states/eV per cell

Unit cell a=8.383 b=8.383 c=6.082 alpha=90.00 beta=90.00 gamma=90.00
Space group I-42d (No. 122)
One atom of each set of equivalent atoms:
Y1 0.181 0.250 0.125 [8 per cell]
Mg1 0.000 0.000 0.500 [4 per cell]
Ir1 0.000 0.000 0.000 [4 per cell]

***

4.
ZnFeB3 | GGA-PBE | relaxed

Summary:
Energy of formation from the pure elements   82 kJ per mole of atoms
Uncorrected energy   -5.108 eV/atom
DOS(E_F)   1.2 states/eV per cell
Energy above the lowest structure with this stoichiometry   0.0000 eV/atom

Unit cell a=3.785 b=3.785 c=3.785 alpha=90.00 beta=90.00 gamma=90.00
Space group Pm-3m (No. 221)
One atom of each set of equivalent atoms:
Zn1 0.000 0.000 0.000 [1 per cell]
Fe1 0.500 0.500 0.500 [1 per cell]
B1 0.000 0.500 0.500 [3 per cell]